ReAgO2 after structural relaxation, computed with PBE-GGA.

Output
ΔE to the lowest computed polymorph: 1.81 eV/f.u.
symmetry: No. 122
crystal system: tetragonal
energy relative to the elements, uncorrected: -233 meV/atom

Lattice parameters (Å, degrees): 4.491 4.491 6.672 70.33 70.33 90.00
Fractional coordinates of all 8 atoms:
Re  0.000  0.000  0.000
Ag  0.500  0.500  0.000
Re  0.750  0.250  0.500
Ag  0.250  0.750  0.500
O  0.742  0.125  0.250
O  0.008  0.625  0.250
O  0.875  0.992  0.750
O  0.375  0.258  0.750

ReAg3O after structural relaxation, computed with PBE-GGA.

Output
ΔE to the lowest computed polymorph: 0.00 eV/f.u.
symmetry: No. 221
crystal system: cubic
energy relative to the elements, uncorrected: 1048 meV/atom

Lattice parameters (Å, degrees): 4.453 4.453 4.453 90.00 90.00 90.00
Fractional coordinates of all 5 atoms:
O  0.000  0.000  0.000
Ag  0.000  0.500  0.000
Ag  0.000  0.000  0.500
Re  0.500  0.500  0.500
Ag  0.500  0.000  0.000

Re3AgO after structural relaxation, computed with PBE-GGA.

Output
ΔE to the lowest computed polymorph: 15.36 eV/f.u.
symmetry: No. 221
crystal system: cubic
energy relative to the elements, uncorrected: 3777 meV/atom

Lattice parameters (Å, degrees): 4.835 4.835 4.835 90.00 90.00 90.00
Fractional coordinates of all 5 atoms:
Re  0.000  0.500  0.000
Ag  0.000  0.000  0.000
Re  0.500  0.000  0.000
O  0.500  0.500  0.500
Re  0.000  0.000  0.500

ReAg2O after structural relaxation, computed with PBE-GGA.

Output
symmetry: No. 122
crystal system: tetragonal
energy relative to the elements, uncorrected: 551 meV/atom

Lattice parameters (Å, degrees): 8.895 8.895 6.562 47.34 47.34 90.00
Fractional coordinates of all 8 atoms:
Ag  0.513  0.125  0.250
Ag  0.237  0.625  0.250
Ag  0.875  0.763  0.750
Ag  0.375  0.487  0.750
O  0.250  0.750  0.500
O  0.500  0.500  0.000
Re  0.750  0.250  0.500
Re  0.000  0.000  0.000

Re2AgO8 after structural relaxation, computed with PBE-GGA.

Output
ΔE to the lowest computed polymorph: 0.00 eV/f.u.
symmetry: No. 12
crystal system: monoclinic
energy relative to the elements, uncorrected: -1182 meV/atom

Lattice parameters (Å, degrees): 5.424 6.315 6.315 85.54 83.65 83.65
Fractional coordinates of all 11 atoms:
Re  0.404  0.224  0.224
O  0.694  0.590  0.590
O  0.286  0.980  0.310
O  0.260  0.811  0.811
O  0.714  0.020  0.690
O  0.306  0.410  0.410
O  0.740  0.189  0.189
O  0.714  0.690  0.020
Ag  0.000  0.000  0.000
Re  0.596  0.776  0.776
O  0.286  0.310  0.980

Re2AgO2 after structural relaxation, computed with PBE-GGA.

Output
ΔE to the lowest computed polymorph: 0.00 eV/f.u.
symmetry: No. 139
crystal system: tetragonal
energy relative to the elements, uncorrected: 332 meV/atom

Lattice parameters (Å, degrees): 3.754 3.754 5.467 69.92 69.92 90.00
Fractional coordinates of all 5 atoms:
O  0.634  0.634  0.732
Re  0.750  0.250  0.500
Re  0.250  0.750  0.500
Ag  0.000  0.000  0.000
O  0.366  0.366  0.268

Re2AgO2 after structural relaxation, computed with PBE-GGA.

Output
ΔE to the lowest computed polymorph: 1.06 eV/f.u.
symmetry: No. 127
crystal system: tetragonal
energy relative to the elements, uncorrected: 545 meV/atom

Lattice parameters (Å, degrees): 7.094 7.094 2.628 90.00 90.00 90.00
Fractional coordinates of all 10 atoms:
O  0.119  0.381  0.000
Ag  0.500  0.500  0.000
O  0.881  0.619  0.000
Re  0.871  0.371  0.500
Ag  0.000  0.000  0.000
Re  0.629  0.871  0.500
Re  0.129  0.629  0.500
O  0.381  0.881  0.000
Re  0.371  0.129  0.500
O  0.619  0.119  0.000

ReAgO3 after structural relaxation, computed with PBE-GGA.

Output
symmetry: No. 10
crystal system: monoclinic
energy relative to the elements, uncorrected: -1012 meV/atom

Lattice parameters (Å, degrees): 2.825 5.928 7.515 90.00 90.00 89.74
Fractional coordinates of all 10 atoms:
O  0.000  0.000  0.000
O  0.000  0.000  0.500
Ag  0.500  0.500  0.500
Re  0.000  0.000  0.750
Re  0.000  0.000  0.250
Ag  0.500  0.500  0.000
O  0.502  0.752  0.250
O  0.502  0.752  0.750
O  0.498  0.248  0.250
O  0.498  0.248  0.750

ReAgO2 after structural relaxation, computed with PBE-GGA.

Output
ΔE to the lowest computed polymorph: 4.82 eV/f.u.
symmetry: No. 225
crystal system: cubic
energy relative to the elements, uncorrected: 518 meV/atom

Lattice parameters (Å, degrees): 3.985 3.985 3.985 60.00 60.00 60.00
Fractional coordinates of all 4 atoms:
Re  0.500  0.500  0.500
O  0.250  0.250  0.250
Ag  0.000  0.000  0.000
O  0.750  0.750  0.750

Re2Ag2O7 after structural relaxation, computed with PBE-GGA.

Output
symmetry: No. 12
crystal system: monoclinic
energy relative to the elements, uncorrected: -1097 meV/atom

Lattice parameters (Å, degrees): 5.790 5.961 5.961 114.43 96.99 96.99
Fractional coordinates of all 11 atoms:
Re  0.885  0.249  0.249
O  0.269  0.939  0.630
O  0.731  0.061  0.370
O  0.811  0.560  0.560
O  0.000  0.000  0.000
O  0.189  0.440  0.440
Ag  0.500  0.318  0.682
Re  0.115  0.751  0.751
O  0.731  0.370  0.061
Ag  0.500  0.682  0.318
O  0.269  0.630  0.939

ReAgO3 after structural relaxation, computed with PBE-GGA.

Output
symmetry: No. 221
crystal system: cubic
energy relative to the elements, uncorrected: -963 meV/atom

Lattice parameters (Å, degrees): 3.885 3.885 3.885 90.00 90.00 90.00
Fractional coordinates of all 5 atoms:
O  0.000  0.500  0.000
Ag  0.500  0.500  0.500
Re  0.000  0.000  0.000
O  0.000  0.000  0.500
O  0.500  0.000  0.000

ReAg3O after structural relaxation, computed with PBE-GGA.

Output
ΔE to the lowest computed polymorph: 5.56 eV/f.u.
symmetry: No. 221
crystal system: cubic
energy relative to the elements, uncorrected: 2160 meV/atom

Lattice parameters (Å, degrees): 5.053 5.053 5.053 90.00 90.00 90.00
Fractional coordinates of all 5 atoms:
Ag  0.500  0.000  0.000
Ag  0.000  0.500  0.000
O  0.500  0.500  0.500
Re  0.000  0.000  0.000
Ag  0.000  0.000  0.500